Computed, not measured: crystalline Al2V2F at its relaxed geometry at the PBE+U level of DFT.

Summary:
As for the symmetry: No. 139. The calculation puts the density of states at the Fermi level at 3.38 states/eV/cell. The energy above the lowest structure with this stoichiometry is 0.144 eV/atom.

extended XYZ file:
```
10
Lattice="3.626 0.000 0.000 0.000 3.626 0.000 0.000 0.000 13.853" Properties=species:S:1:pos:R:3 pbc="T T T"
Al 0.000 0.000 1.249
Al 0.000 0.000 12.604
Al 1.813 1.813 5.678
Al 1.813 1.813 8.176
V 0.000 1.813 3.463
V 0.000 1.813 10.390
V 1.813 0.000 3.463
V 1.813 0.000 10.390
F 0.000 0.000 6.927
F 1.813 1.813 0.000
```